5
Lattice="4.604 0.000 0.000 0.000 4.604 0.000 0.000 0.000 4.442" Properties=species:S:1:pos:R:3 comment="BaYN2O | the Alexandria database | GGA-PBE | optimized geometry" n_ef_per_ev_cell=2.8 magnetic_moment_mub_per_atom=0.601 vol_a3_per_cell=94.2 formation_energy_uncorrected_mev_per_atom=-761 pbc="T T T"
Y 0.000 0.000 0.000
N 0.000 2.302 0.000
N 2.302 0.000 0.000
Ba 2.302 2.302 2.221
O 0.000 0.000 2.221

***

5
Lattice="4.469 0.000 0.000 0.000 4.469 0.000 0.000 0.000 4.562" Properties=species:S:1:pos:R:3 comment="BaYNO2 | the Alexandria database | GGA-PBE | optimized geometry" n_ef_per_ev_cell=3.2 magnetic_moment_mub_per_atom=0.402 vol_a3_per_cell=91.1 formation_energy_uncorrected_mev_per_atom=-1713 pbc="T T T"
O 0.000 2.234 0.000
O 2.234 0.000 0.000
Y 0.000 0.000 0.000
N 0.000 0.000 2.281
Ba 2.234 2.234 2.281

***

5
Lattice="-3.040 -2.338 2.424 2.076 -3.872 -1.131 2.624 0.348 3.628" Properties=species:S:1:pos:R:3 comment="BaYN2O | the Alexandria database | GGA-PBE | optimized geometry" n_ef_per_ev_cell=1.7 magnetic_moment_mub_per_atom=0.106 vol_a3_per_cell=92.4 formation_energy_uncorrected_mev_per_atom=501 pbc="T T T"
Ba 0.000 0.000 0.000
N 1.038 -1.936 -0.565
N -1.520 -1.169 1.212
O 1.312 0.174 1.814
Y 0.830 -2.931 2.460

***

5
Lattice="-0.635 -4.058 -2.018 2.637 1.326 -3.497 3.722 -1.664 2.176" Properties=species:S:1:pos:R:3 comment="BaYNO2 | the Alexandria database | GGA-PBE | optimized geometry" n_ef_per_ev_cell=2.1 magnetic_moment_mub_per_atom=0.072 vol_a3_per_cell=96.8 formation_energy_uncorrected_mev_per_atom=-274 pbc="T T T"
O 1.318 0.663 -1.749
O -0.317 -2.029 -1.009
Ba 0.000 0.000 0.000
Y 2.862 -2.198 -1.670
N 1.861 -0.832 1.088

***

7
Lattice="4.151 0.000 0.000 0.000 4.151 0.000 0.000 0.000 9.283" Properties=species:S:1:pos:R:3 comment="Ba3ZnN2O | the Alexandria database | GGA-PBE | optimized geometry" magnetic_moment_mub_per_atom=0.000 vol_a3_per_cell=159.9 formation_energy_uncorrected_mev_per_atom=-1000 pbc="T T T"
N 2.075 2.075 7.429
N 2.075 2.075 1.853
O 0.000 0.000 4.641
Zn 2.075 2.075 0.000
Ba 2.075 2.075 4.641
Ba 0.000 0.000 7.259
Ba 0.000 0.000 2.023

***

4
Lattice="1.986 0.000 6.435 -0.993 1.720 6.435 -0.993 -1.720 6.435" Properties=species:S:1:pos:R:3 comment="BaOsN2 | the Alexandria database | GGA-PBE | optimized geometry" n_ef_per_ev_cell=3.8 magnetic_moment_mub_per_atom=0.000 vol_a3_per_cell=65.9 de_polymorph_ev_per_atom=0.875 formation_energy_uncorrected_mev_per_atom=664 pbc="T T T"
Os 0.000 0.000 9.653
N 0.000 0.000 2.550
N 0.000 0.000 16.755
Ba 0.000 0.000 0.000

***

4
Lattice="-0.950 -0.658 4.158 -0.541 3.364 2.648 -3.934 0.960 1.493" Properties=species:S:1:pos:R:3 comment="BaOsN2 | the Alexandria database | GGA-PBE | optimized geometry" n_ef_per_ev_cell=1.6 magnetic_moment_mub_per_atom=0.000 vol_a3_per_cell=56.8 de_polymorph_ev_per_atom=1.713 formation_energy_uncorrected_mev_per_atom=1503 pbc="T T T"
Ba 0.000 0.000 0.000
Os -2.712 1.833 4.150
N -1.356 0.917 2.075
N -4.069 2.750 6.225

***

5
Lattice="-0.828 3.512 -1.725 -2.255 -1.870 -2.724 -3.198 0.409 2.367" Properties=species:S:1:pos:R:3 comment="BaOsN3 | the Alexandria database | GGA-PBE | optimized geometry" n_ef_per_ev_cell=2.5 magnetic_moment_mub_per_atom=0.000 vol_a3_per_cell=64.0 formation_energy_uncorrected_mev_per_atom=118 pbc="T T T"
N -1.599 0.205 1.184
N -0.414 1.756 -0.863
N -1.128 -0.935 -1.362
Ba -3.141 1.026 -1.041
Os 0.000 0.000 0.000

***

10
Lattice="-7.100 0.188 -2.275 1.984 -3.165 -6.455 -0.793 -4.746 2.083" Properties=species:S:1:pos:R:3 comment="Ba2Os2N | the Alexandria database | GGA-PBE | optimized geometry" n_ef_per_ev_cell=12.6 magnetic_moment_mub_per_atom=0.596 vol_a3_per_cell=291.6 de_polymorph_ev_per_atom=1.053 formation_energy_uncorrected_mev_per_atom=1517 pbc="T T T"
N -2.558 -1.488 -4.365
N 0.000 0.000 0.000
Ba -4.488 -0.452 -2.738
Ba -0.628 -2.525 -5.991
Ba -0.673 -0.968 -2.461
Ba -4.442 -2.009 -6.269
Os -2.921 -5.090 -6.109
Os -2.987 -2.633 -0.537
Os 0.055 -4.270 -3.108
Os -5.964 -3.453 -3.539

***

5
Lattice="4.372 0.000 0.000 0.000 4.372 0.000 0.000 0.000 4.372" Properties=species:S:1:pos:R:3 comment="BaOsN3 | the Alexandria database | GGA-PBE | optimized geometry" n_ef_per_ev_cell=4.5 magnetic_moment_mub_per_atom=0.000 vol_a3_per_cell=83.6 formation_energy_uncorrected_mev_per_atom=3551 pbc="T T T"
N 2.186 0.000 0.000
N 0.000 0.000 2.186
N 0.000 2.186 0.000
Ba 0.000 0.000 0.000
Os 2.186 2.186 2.186

***

14
Lattice="5.985 0.000 0.000 0.000 6.191 -1.287 0.000 -0.546 8.093" Properties=species:S:1:pos:R:3 comment="Ba2OsN4 | the Alexandria database | GGA-PBE | optimized geometry" n_ef_per_ev_cell=0.0 magnetic_moment_mub_per_atom=0.000 vol_a3_per_cell=295.7 formation_energy_uncorrected_mev_per_atom=-461 pbc="T T T"
Ba 4.489 4.437 -0.743
Ba 1.496 1.192 3.436
Ba 4.489 4.453 3.370
Ba 1.496 1.208 7.549
N 0.051 3.034 5.170
N 1.496 5.287 -1.018
N 4.489 0.198 2.598
N 3.043 2.612 1.636
N 1.496 5.448 4.207
N 2.942 3.034 5.170
N 4.489 0.358 7.824
N 5.935 2.612 1.636
Os 1.496 4.087 5.397
Os 4.489 1.559 1.409

***

5
Lattice="5.228 0.000 0.000 0.000 5.228 0.000 0.000 0.000 5.228" Properties=species:S:1:pos:R:3 comment="BaOs3N | the Alexandria database | GGA-PBE | optimized geometry" n_ef_per_ev_cell=5.1 magnetic_moment_mub_per_atom=1.768 vol_a3_per_cell=142.9 formation_energy_uncorrected_mev_per_atom=4823 pbc="T T T"
Os 0.000 2.614 0.000
Os 0.000 0.000 2.614
Os 2.614 0.000 0.000
N 2.614 2.614 2.614
Ba 0.000 0.000 0.000

***

6
Lattice="5.830 0.000 0.000 0.000 5.073 0.000 -2.915 0.000 4.806" Properties=species:S:1:pos:R:3 comment="BaOsN | the Alexandria database | GGA-PBE | optimized geometry" n_ef_per_ev_cell=3.7 magnetic_moment_mub_per_atom=0.000 vol_a3_per_cell=142.1 formation_energy_uncorrected_mev_per_atom=-57 pbc="T T T"
Ba 0.000 3.805 3.084
Ba 2.915 1.268 1.722
N 2.915 3.805 3.306
N 0.000 1.268 1.500
Os 0.000 0.000 0.000
Os 0.000 2.537 0.000

***

8
Lattice="5.194 0.000 0.000 0.000 5.194 0.000 2.597 2.597 5.312" Properties=species:S:1:pos:R:3 comment="BaOsN2 | the Alexandria database | GGA-PBE | optimized geometry" n_ef_per_ev_cell=2.6 magnetic_moment_mub_per_atom=0.000 vol_a3_per_cell=143.3 de_polymorph_ev_per_atom=0.120 formation_energy_uncorrected_mev_per_atom=-91 pbc="T T T"
Os 5.194 2.597 2.656
Os 0.000 0.000 0.000
N 3.896 3.080 3.984
N 6.493 2.115 3.984
N 5.677 3.896 1.328
N 4.712 1.299 1.328
Ba 2.597 2.597 0.000
Ba 2.597 5.194 2.656

***

14
Lattice="8.231 0.000 0.000 -4.115 7.128 0.000 0.000 0.000 5.705" Properties=species:S:1:pos:R:3 comment="Ba3OsN3 | the Alexandria database | GGA-PBE | optimized geometry" n_ef_per_ev_cell=8.1 magnetic_moment_mub_per_atom=0.206 vol_a3_per_cell=334.7 formation_energy_uncorrected_mev_per_atom=-489 pbc="T T T"
N 0.813 3.085 1.426
N -1.850 4.882 1.426
N 1.038 6.290 1.426
N 3.078 0.839 4.279
N 5.966 2.246 4.279
N 3.303 4.043 4.279
Ba 6.332 1.870 1.426
Ba 3.445 4.549 1.426
Ba -2.217 5.258 4.279
Ba 1.547 6.419 4.279
Ba 2.568 0.709 1.426
Ba 0.670 2.579 4.279
Os 4.115 2.376 4.279
Os 0.000 4.752 1.426

***

5
Lattice="3.528 0.000 0.000 0.000 3.528 0.000 1.764 1.764 9.367" Properties=species:S:1:pos:R:3 comment="Ba2Os2N | the Alexandria database | GGA-PBE | optimized geometry" n_ef_per_ev_cell=6.1 magnetic_moment_mub_per_atom=0.000 vol_a3_per_cell=116.6 de_polymorph_ev_per_atom=0.000 formation_energy_uncorrected_mev_per_atom=465 pbc="T T T"
Os 3.528 1.764 4.684
Os 1.764 3.528 4.684
N 0.000 0.000 0.000
Ba 1.764 1.764 1.584
Ba 3.528 3.528 7.783

***

8
Lattice="-2.333 0.690 -4.475 3.650 -2.692 -2.318 -2.758 -6.443 -2.455" Properties=species:S:1:pos:R:3 comment="BaOs2N | the Alexandria database | GGA-PBE | optimized geometry" n_ef_per_ev_cell=5.1 magnetic_moment_mub_per_atom=0.000 vol_a3_per_cell=168.5 formation_energy_uncorrected_mev_per_atom=677 pbc="T T T"
Ba -2.216 -3.377 -5.163
Ba 0.000 0.000 0.000
Os -0.662 -6.256 -4.968
Os 0.717 -3.035 -3.741
Os -1.108 -1.689 -2.582
Os -1.829 -5.911 -7.205
N 0.775 -5.068 -4.085
N 0.658 -1.001 -3.397

***

22
Lattice="-2.978 2.410 4.493 -5.591 -5.538 -2.416 7.401 -4.943 4.067" Properties=species:S:1:pos:R:3 comment="Ba3Os3N5 | the Alexandria database | GGA-PBE | optimized geometry" n_ef_per_ev_cell=9.2 magnetic_moment_mub_per_atom=0.000 vol_a3_per_cell=422.7 formation_energy_uncorrected_mev_per_atom=-165 pbc="T T T"
N 1.046 -3.031 2.544
N -4.125 -4.978 -0.026
N 0.061 -0.731 4.444
N 2.958 -3.093 6.170
N 1.756 -8.493 1.995
N -2.644 -2.631 0.332
N -2.924 0.422 4.149
N 1.477 -5.440 5.812
N -2.214 -5.040 3.600
N -1.229 -7.340 1.700
Os -3.890 -3.437 -1.064
Os -2.622 -6.932 3.000
Os 2.722 -4.634 7.208
Os 0.315 -7.971 0.951
Os 1.454 -1.139 3.144
Os -1.483 -0.100 5.193
Ba -1.286 -0.496 1.650
Ba 3.200 -4.429 3.700
Ba -0.210 -3.457 4.894
Ba -0.958 -4.614 1.250
Ba 0.118 -7.575 4.494
Ba -4.367 -3.642 2.444

***

4
Lattice="2.290 0.000 6.588 -1.145 1.983 6.588 -1.145 -1.983 6.588" Properties=species:S:1:pos:R:3 comment="BaOsN2 | the Alexandria database | GGA-PBE | optimized geometry" n_ef_per_ev_cell=2.7 magnetic_moment_mub_per_atom=0.197 vol_a3_per_cell=89.8 de_polymorph_ev_per_atom=0.739 formation_energy_uncorrected_mev_per_atom=528 pbc="T T T"
Os 0.000 0.000 0.000
N 0.000 0.000 17.965
N 0.000 0.000 1.799
Ba 0.000 0.000 9.882

***

16
Lattice="-2.582 4.538 5.261 -2.213 -1.002 -7.002 -4.961 -5.563 2.364" Properties=species:S:1:pos:R:3 comment="BaOsN2 | the Alexandria database | GGA-PBE | optimized geometry" n_ef_per_ev_cell=3.6 magnetic_moment_mub_per_atom=0.000 vol_a3_per_cell=326.7 de_polymorph_ev_per_atom=0.000 formation_energy_uncorrected_mev_per_atom=-211 pbc="T T T"
Os -6.585 -5.341 -3.773
Os -5.536 -1.188 1.770
Os -3.170 3.314 4.396
Os -4.219 -0.839 -1.148
N -7.342 -1.133 1.325
N -4.557 0.276 2.045
N -7.106 -1.465 5.529
N -5.199 -2.303 -1.423
N -2.649 -0.562 -4.907
N -4.945 -2.901 2.195
N -2.413 -0.894 -0.702
N -4.811 0.874 -1.573
Ba -6.943 -4.202 -0.476
Ba -4.386 -2.566 -4.196
Ba -2.813 2.175 1.099
Ba -5.369 0.539 4.818

***

7
Lattice="-2.143 2.395 2.402 1.482 -1.153 5.824 4.217 4.892 2.235" Properties=species:S:1:pos:R:3 comment="Ba2P2Os2N | the Alexandria database | GGA-PBE | optimized geometry" n_ef_per_ev_cell=2.9 magnetic_moment_mub_per_atom=0.000 vol_a3_per_cell=146.6 formation_energy_uncorrected_mev_per_atom=-633 pbc="T T T"
P 2.447 4.914 7.338
P 1.109 1.221 3.123
Ba 1.919 4.418 4.009
Ba 1.637 1.717 6.452
Os -1.041 1.897 3.882
Os 4.597 4.238 6.579
N 0.000 0.000 0.000

***

8
Lattice="5.925 -0.219 -0.315 -3.044 5.088 0.315 -3.044 -1.486 4.876" Properties=species:S:1:pos:R:3 comment="BaPa2OsN4 | the Alexandria database | GGA-PBE | optimized geometry" n_ef_per_ev_cell=4.1 magnetic_moment_mub_per_atom=0.000 vol_a3_per_cell=140.4 formation_energy_uncorrected_mev_per_atom=-625 pbc="T T T"
Pa -0.082 3.335 1.298
Pa -0.082 0.048 3.578
N -1.975 2.276 0.915
N 0.840 1.682 2.424
N -3.143 2.967 4.276
N -1.975 0.061 2.452
Ba 0.000 0.000 0.000
Os -3.044 1.801 2.595

***

16
Lattice="7.108 0.000 0.000 0.000 7.565 0.307 -3.554 -3.544 5.034" Properties=species:S:1:pos:R:3 comment="Ba4Pa3OsN8 | the Alexandria database | GGA-PBE | optimized geometry" n_ef_per_ev_cell=4.9 magnetic_moment_mub_per_atom=0.000 vol_a3_per_cell=278.4 formation_energy_uncorrected_mev_per_atom=-878 pbc="T T T"
Pa -1.777 2.011 2.670
Pa 1.777 2.011 2.670
Pa 3.554 3.783 0.154
N 5.305 2.255 0.352
N 3.554 3.514 2.474
N 3.554 0.510 2.830
N 1.804 2.255 0.352
N 0.000 0.507 2.867
N 1.750 1.767 4.989
N 0.000 3.512 2.511
N -1.750 1.767 4.989
Ba 0.000 0.000 0.000
Ba 1.777 -1.772 2.517
Ba 3.554 0.000 0.000
Ba -1.777 -1.772 2.517
Os 0.000 3.783 0.154

***

11
Lattice="-4.994 -2.099 3.119 -2.830 -5.270 -1.814 1.060 -5.698 4.127" Properties=species:S:1:pos:R:3 comment="Ba2PaOs2N6 | the Alexandria database | GGA-PBE | optimized geometry" n_ef_per_ev_cell=9.0 magnetic_moment_mub_per_atom=0.000 vol_a3_per_cell=207.5 formation_energy_uncorrected_mev_per_atom=-504 pbc="T T T"
N -3.583 -7.238 5.076
N -2.493 -8.836 2.591
N -1.067 -6.181 3.505
N -3.182 -5.829 0.356
N -5.697 -6.886 1.927
N -4.272 -4.232 2.841
Ba -1.389 -3.533 1.662
Ba -5.375 -9.534 3.770
Os -4.357 -5.672 1.735
Os -2.408 -7.395 3.697
Pa 0.000 0.000 0.000